TbNd4Er3Se8 after structural relaxation. Source: Alexandria via LeMat-Bulk, functional PBE.

Summary:
Volume = 25.14 Å³ per atom
Space-group type = R-3m
Energy = -5.86 eV per atom
Uncorrected formation energy = -1.7802 eV per atom

abc: 8.178 8.397 8.180
angles: 119.15 119.99 90.00
Fractional positions:
Se1 0.256 0.269 0.513
Tb1 0.000 0.500 0.000
Se2 0.754 0.267 0.013
Se3 0.754 0.267 0.509
Er1 0.500 0.500 0.500
Se4 0.741 0.733 0.987
Se5 0.744 0.731 0.487
Se6 0.246 0.733 0.987
Nd1 0.500 0.000 0.500
Er2 0.500 0.500 0.000
Nd2 0.500 0.000 0.000
Nd3 0.000 0.000 0.500
Se7 0.259 0.267 0.013
Nd4 0.000 0.000 0.000
Se8 0.246 0.733 0.491
Er3 0.000 0.500 0.500